VASP calculation (GGA-PBE) on crystalline Tm8Cd2Co3 at its relaxed geometry.

Cell and atoms, written as POSCAR:
```
Tm8Cd2Co3
1.0
-2.325 6.516 -1.008
-5.035 -1.063 4.739
7.584 0.673 3.044
Tm Co Cd
8 3 2
Cartesian
3.928 0.441 4.272 Tm
3.917 4.429 2.535 Tm
-1.138 2.236 1.836 Tm
1.362 3.889 4.940 Tm
-0.730 5.631 0.488 Tm
-3.693 1.697 4.240 Tm
0.954 0.495 6.288 Tm
-3.705 5.684 2.503 Tm
-0.973 -0.205 0.916 Co
-4.062 -0.858 3.823 Co
-1.163 3.258 -0.504 Co
1.930 2.019 2.504 Cd
-1.707 4.107 4.271 Cd
```

## Properties
energy	-59.933	eV/f.u.

VASP calculation (GGA-PBE) on crystalline Tm6Cd3Co at its relaxed geometry.

Cell and atoms, written as POSCAR:
```
Tm6Cd3Co
1.0
5.212 0.000 0.000
0.000 8.491 -2.880
0.000 -0.023 11.184
Co Cd Tm
2 6 12
Cartesian
1.303 8.161 3.843 Co
3.909 0.307 4.461 Co
1.303 3.561 7.485 Cd
1.303 6.509 8.695 Cd
1.303 4.270 2.697 Cd
3.909 1.959 -0.391 Cd
3.909 4.907 0.820 Cd
3.909 4.198 5.607 Cd
3.909 2.543 2.894 Tm
3.909 6.656 3.379 Tm
1.303 1.016 1.317 Tm
3.909 7.452 6.987 Tm
1.303 0.926 9.103 Tm
1.303 3.960 -0.411 Tm
1.303 7.183 1.322 Tm
1.303 1.812 4.925 Tm
3.909 7.542 -0.799 Tm
3.909 4.508 8.715 Tm
1.303 5.925 5.410 Tm
3.909 1.286 6.982 Tm
```

## Properties
energy	-38.724	eV/f.u.

VASP calculation (GGA-PBE) on crystalline TmCdCo at its relaxed geometry.

Cell and atoms, written as POSCAR:
```
TmCdCo
1.0
3.335 0.000 0.000
0.000 3.335 0.000
-1.668 -1.668 5.247
Tm Cd Co
1 1 1
Cartesian
0.000 0.000 3.256 Tm
0.000 0.000 0.233 Cd
1.668 1.668 1.759 Co
```

## Properties
energy	-12.725	eV/f.u.

no.,DOS at the Fermi energy (states/eV per cell),calculated volume (A^3/atom),DFT formation energy (kcal/mol of atoms)
1,10.12,26.48,-1.8
2,13.81,24.73,-4.7
3,2.04,19.46,-1.8